# BaSm GGA-PBE relaxed
# **Crystal system**: cubic
# **Polymorph energy (0 for the lowest one)**: 526 meV/atom
# **Raw total energy**: -20.25 eV/cell
# **Mass density**: 5.35 Mg/m³
data_BaSm
_chemical_formula_sum 'Ba4 Sm4'
_cell_length_a 7.095
_cell_length_b 7.095
_cell_length_c 7.095
_cell_angle_alpha 90.00
_cell_angle_beta 90.00
_cell_angle_gamma 90.00
_symmetry_space_group_name_H-M 'F m -3 m'
_symmetry_Int_Tables_number 225
_symmetry_space_group_name_Hall '-F 4 2 3'
loop_
_atom_site_label
_atom_site_fract_x
_atom_site_fract_y
_atom_site_fract_z
Ba1 0.000 0.000 0.000
Sm1 0.000 0.000 0.500